# 1
Material: DyTlFe
Method: DFT, PBE
State: optimized geometry

Properties
**Energy of formation from the pure elements**: -0.0437 eV/atom

Lattice parameters (Å, degrees): 13.4018 3.7466 5.3552 90.00 101.70 90.00
Last column: nearest neighbours and their distance in Å.
Space group C2/m (No. 12)
Asymmetric unit:
Dy1 0.1378 0.0000 0.3250 x4  4 Fe 2.90-2.98
Tl1 0.0739 0.5000 0.7922 x4  3 Fe 2.78-2.84
Fe1 0.2305 0.0000 0.8800 x4  2 Fe 2.27

---

# 2
Material: RbPr2Br8
Method: DFT, PBE
State: optimized geometry

Properties
**ΔE_f (raw)**: -1.688 eV per atom

Lattice parameters (Å, degrees): 9.2030 14.7707 5.7310 90.00 90.00 90.00
Last column: nearest neighbours and their distance in Å.
Space group Cmmm (No. 65)
Asymmetric unit:
Rb1 0.0000 0.0000 0.0000 x2  10 Br 3.81-3.90
Pr1 0.0000 0.3026 0.5000 x4  8 Br 2.94-3.26
Br1 0.0000 0.2581 0.0000 x4  2 Pr 2.94
Br2 0.0000 0.5000 0.2475 x4  2 Br 2.84-2.89
Br3 0.1915 0.1341 0.5000 x8  2 Pr 2.99-3.05

---

# 3
Material: AcTb2Cd2In2
Method: DFT, PBE
State: optimized geometry

Properties
**Energy of formation from the pure elements**: -0.2900 eV/atom

Lattice parameters (Å, degrees): 5.0239 5.0239 27.9561 90.00 90.00 120.00
Last column: nearest neighbours and their distance in Å.
Space group R-3m (No. 166, hexagonal axes)
Asymmetric unit:
Ac1 0.0000 0.0000 0.0000 x3  6 In 3.58, 2 Tb 3.74, 6 Cd 3.90
Tb1 0.0000 0.0000 0.1337 x6  3 Cd 3.11, 4 In 3.33-3.48, 3 Tb 3.44
Cd1 0.0000 0.0000 0.4267 x6  3 In 2.94, 3 Tb 3.11
In1 0.0000 0.0000 0.2582 x6  3 Cd 2.94

---

# 4
Material: YAl4Au12
Method: DFT, PBE
State: optimized geometry

Properties
**Energy of formation from the pure elements**: -0.1823 eV/atom

Lattice parameters (Å, degrees): 8.9095 8.9095 8.9095 90.00 90.00 90.00
Last column: nearest neighbours and their distance in Å.
Space group Im-3 (No. 204)
Asymmetric unit:
Y1 0.0000 0.0000 0.0000 x2  12 Au 3.35
Al1 0.2500 0.2500 0.2500 x8  6 Au 2.52
Au1 0.0000 0.1559 0.3416 x24  2 Al 2.52, 1 Au 2.78

---

# 5
Material: HgPd4Se
Method: DFT, PBE
State: optimized geometry

Properties
**ΔE_f (raw)**: -0.100 eV per atom

Lattice parameters (Å, degrees): 14.4307 5.3837 5.5214 90.00 99.24 90.00
Last column: nearest neighbours and their distance in Å.
Space group C2/c (No. 15)
Asymmetric unit:
Hg1 0.0000 0.1041 0.2500 x4  10 Pd 2.79-3.10, 2 Hg 2.98
Pd1 0.0836 0.4068 0.9291 x8  1 Se 2.52, 1 Pd 2.82
Pd2 0.1685 0.1350 0.5770 x8  2 Se 2.45-2.52
Se1 0.2500 0.2500 0.0000 x4  6 Pd 2.45-2.52

---

# 6
Material: Tb5Pm2NdSc
Method: DFT, PBE
State: optimized geometry

Properties
**Energy of formation from the pure elements**: 0.1589 eV/atom

Lattice parameters (Å, degrees): 5.6171 19.8527 10.4762 90.00 90.00 90.00
Last column: nearest neighbours and their distance in Å.
Space group Cmc2_1 (No. 36)
Asymmetric unit:
Tb1 0.0000 0.0176 0.0000 x4  2 Nd 3.09-3.27
Tb2 0.0000 0.1260 0.2786 x4  1 Sc 3.53, 4 Pm 3.54-3.61, 4 Tb 3.63-3.72
Tb3 0.0000 0.2033 0.9637 x4  4 Tb 3.40-3.71, 2 Sc 3.44, 1 Nd 3.45, 3 Pm 3.53-3.63
Tb4 0.0000 0.2235 0.5823 x4  1 Nd 3.04, 1 Pm 3.25, 2 Tb 3.40
Tb5 0.0000 0.4825 0.2782 x4  2 Nd 3.20, 3 Pm 3.35-3.55, 1 Sc 3.55
Pm1 0.0000 0.3853 0.9937 x4  1 Sc 3.35, 7 Tb 3.46-3.66, 2 Nd 3.70
Pm2 0.0000 0.3873 0.5744 x4  9 Tb 3.25-3.63, 1 Sc 3.56
Nd1 0.0000 0.0878 0.7173 x4  5 Tb 3.04-3.27
Sc1 0.0000 0.3038 0.2741 x4  2 Pm 3.35-3.56, 7 Tb 3.44-3.60, 2 Nd 3.59

---

# 7
Material: La3Y2PuSe6
Method: DFT, PBE
State: optimized geometry

Properties
**ΔE_f (raw)**: -1.854 eV per atom

Lattice parameters (Å, degrees): 7.2629 12.5905 7.3377 90.00 109.27 90.00
Last column: nearest neighbours and their distance in Å.
Space group C2/m (No. 12)
Asymmetric unit:
La1 0.0000 0.0000 0.0000 x2  6 Se 3.03-3.05
La2 0.0000 0.3342 0.0000 x4  6 Se 3.03-3.05
Y1 0.0000 0.1670 0.5000 x4  6 Se 2.91
Pu1 0.0000 0.5000 0.5000 x2  6 Se 2.93
Se1 0.2415 0.0000 0.7332 x4  2 Y 2.91, 1 Pu 2.93, 3 La 3.03-3.05
Se2 0.2463 0.3320 0.7347 x8  2 Y 2.91, 1 Pu 2.93, 3 La 3.03-3.05

---

# 8
Material: Pm2ScCu3Ge4
Method: DFT, PBE
State: optimized geometry

Properties
**Energy of formation from the pure elements**: -0.5690 eV/atom

Lattice parameters (Å, degrees): 4.2360 4.2360 10.6446 90.00 90.00 90.00
Last column: nearest neighbours and their distance in Å.
Space group P-4m2 (No. 115)
Asymmetric unit:
Pm1 0.0000 0.5000 0.2316 x2  6 Cu 3.21-3.56, 8 Ge 3.25, 2 Sc 3.56
Sc1 0.0000 0.0000 0.5000 x1  4 Ge 2.66
Cu1 0.0000 0.5000 0.8771 x2  5 Ge 2.41-2.49
Cu2 0.5000 0.5000 0.5000 x1  4 Ge 2.66
Ge1 0.0000 0.0000 0.0000 x1  4 Cu 2.49
Ge2 0.0000 0.5000 0.6510 x2  3 Cu 2.41-2.66, 2 Sc 2.66
Ge3 0.5000 0.5000 0.0000 x1  4 Cu 2.49

---

Number 1: final energy -62.2 eV/cell, D(E_F) 0.819 states/eV/atom, total magnetic moment 5.46 Bohr magnetons per cell. Number 2: final energy -85.0 eV/cell, D(E_F) 0.564 states/eV/atom, total magnetic moment 0.00 Bohr magnetons per cell. Number 3: final energy -68.1 eV/cell, D(E_F) 0.582 states/eV/atom, total magnetic moment 0.00 Bohr magnetons per cell. Number 4: final energy -127.7 eV/cell, D(E_F) 0.374 states/eV/atom, total magnetic moment 0.00 Bohr magnetons per cell. Number 5: final energy -100.6 eV/cell, D(E_F) 0.609 states/eV/atom, total magnetic moment 0.00 Bohr magnetons per cell. Number 6: final energy -169.3 eV/cell, D(E_F) 1.429 states/eV/atom, total magnetic moment 0.00 Bohr magnetons per cell. Number 7: final energy -170.4 eV/cell, D(E_F) 1.273 states/eV/atom, total magnetic moment 11.95 Bohr magnetons per cell. Number 8: final energy -52.3 eV/cell, D(E_F) 0.222 states/eV/atom, total magnetic moment 0.00 Bohr magnetons per cell.